Entry 1:
# Tb2HoEr2Sc2, relaxed, DFT PBE
data_Tb2HoEr2Sc2
_chemical_formula_sum 'Tb4 Ho2 Er4 Sc4'
_cell_length_a 11.2457
_cell_length_b 3.4049
_cell_length_c 11.4696
_cell_angle_alpha 90.00
_cell_angle_beta 108.84
_cell_angle_gamma 90.00
_space_group_name_H-M_alt 'C 1 2/m 1'
_space_group_IT_number 12
loop_
_space_group_symop_operation_xyz
'x,y,z'
'-x,-y,-z'
'-x,y,-z'
'x,-y,z'
'x+1/2,y+1/2,z'
'-x+1/2,-y+1/2,-z'
'-x+1/2,y+1/2,-z'
'x+1/2,-y+1/2,z'
loop_
_atom_site_label
_atom_site_type_symbol
_atom_site_fract_x
_atom_site_fract_y
_atom_site_fract_z
_atom_site_occupancy
Tb1 Tb 0.1710 0.0000 0.0877 1
Ho1 Ho 0.0000 0.5000 0.5000 1
Er1 Er 0.0478 0.0000 0.7683 1
Sc1 Sc 0.2274 0.5000 0.3664 1
# energy relative to the elements: 108 meV/atom
# crystal system: monoclinic
# total magnetic moment: 0.00 Bohr magnetons per cell

Entry 2:
# TbHo2ErSc5, relaxed, DFT PBE
data_TbHo2ErSc5
_chemical_formula_sum 'Tb4 Ho8 Er4 Sc20'
_cell_length_a 5.3159
_cell_length_b 18.4620
_cell_length_c 10.3241
_cell_angle_alpha 90.00
_cell_angle_beta 90.00
_cell_angle_gamma 90.00
_space_group_name_H-M_alt 'C m c 21'
_space_group_IT_number 36
loop_
_space_group_symop_operation_xyz
'x,y,z'
'-x,-y,z+1/2'
'-x,y,z'
'x,-y,z+1/2'
'x+1/2,y+1/2,z'
'-x+1/2,-y+1/2,z+1/2'
'-x+1/2,y+1/2,z'
'x+1/2,-y+1/2,z+1/2'
loop_
_atom_site_label
_atom_site_type_symbol
_atom_site_fract_x
_atom_site_fract_y
_atom_site_fract_z
_atom_site_occupancy
Tb1 Tb 0.0000 0.2086 0.0000 1
Ho1 Ho 0.0000 0.1066 0.7255 1
Ho2 Ho 0.0000 0.1131 0.3153 1
Er1 Er 0.0000 0.4175 0.4517 1
Sc1 Sc 0.0000 0.0212 0.0250 1
Sc2 Sc 0.0000 0.2871 0.2882 1
Sc3 Sc 0.0000 0.2986 0.7008 1
Sc4 Sc 0.0000 0.3997 0.0150 1
Sc5 Sc 0.0000 0.4780 0.7264 1
# energy relative to the elements: 166 meV/atom
# crystal system: orthorhombic
# total magnetic moment: 0.01 Bohr magnetons per cell

Entry 3:
# Tb6HoEr3Sc2, relaxed, DFT PBE
data_Tb6HoEr3Sc2
_chemical_formula_sum 'Tb12 Ho2 Er6 Sc4'
_cell_length_a 6.0672
_cell_length_b 10.4990
_cell_length_c 11.5283
_cell_angle_alpha 90.00
_cell_angle_beta 100.06
_cell_angle_gamma 90.00
_space_group_name_H-M_alt 'C 1 2/m 1'
_space_group_IT_number 12
loop_
_space_group_symop_operation_xyz
'x,y,z'
'-x,-y,-z'
'-x,y,-z'
'x,-y,z'
'x+1/2,y+1/2,z'
'-x+1/2,-y+1/2,-z'
'-x+1/2,y+1/2,-z'
'x+1/2,-y+1/2,z'
loop_
_atom_site_label
_atom_site_type_symbol
_atom_site_fract_x
_atom_site_fract_y
_atom_site_fract_z
_atom_site_occupancy
Tb1 Tb 0.2463 0.0000 0.2453 1
Tb2 Tb 0.2501 0.1679 0.7547 1
Ho1 Ho 0.0000 0.5000 0.0000 1
Er1 Er 0.0000 0.0000 0.5000 1
Er2 Er 0.0000 0.3332 0.5000 1
Sc1 Sc 0.0000 0.1667 0.0000 1
# energy relative to the elements: 35 meV/atom
# crystal system: monoclinic
# total magnetic moment: 0.00 Bohr magnetons per cell

Entry 4:
# Tb2HoErSc5, relaxed, DFT PBE
data_Tb2HoErSc5
_chemical_formula_sum 'Tb8 Ho4 Er4 Sc20'
_cell_length_a 5.3202
_cell_length_b 18.4748
_cell_length_c 10.3419
_cell_angle_alpha 90.00
_cell_angle_beta 90.00
_cell_angle_gamma 90.00
_space_group_name_H-M_alt 'C m c 21'
_space_group_IT_number 36
loop_
_space_group_symop_operation_xyz
'x,y,z'
'-x,-y,z+1/2'
'-x,y,z'
'x,-y,z+1/2'
'x+1/2,y+1/2,z'
'-x+1/2,-y+1/2,z+1/2'
'-x+1/2,y+1/2,z'
'x+1/2,-y+1/2,z+1/2'
loop_
_atom_site_label
_atom_site_type_symbol
_atom_site_fract_x
_atom_site_fract_y
_atom_site_fract_z
_atom_site_occupancy
Tb1 Tb 0.0000 0.1078 0.0000 1
Tb2 Tb 0.0000 0.1131 0.5901 1
Ho1 Ho 0.0000 0.2075 0.2763 1
Er1 Er 0.0000 0.4173 0.7288 1
Sc1 Sc 0.0000 0.0208 0.3001 1
Sc2 Sc 0.0000 0.2868 0.5652 1
Sc3 Sc 0.0000 0.2990 0.9775 1
Sc4 Sc 0.0000 0.3985 0.2896 1
Sc5 Sc 0.0000 0.4787 0.0025 1
# energy relative to the elements: 163 meV/atom
# crystal system: orthorhombic
# total magnetic moment: 0.00 Bohr magnetons per cell

Entry 5:
# TbHo6Er3Sc2, relaxed, DFT PBE
data_TbHo6Er3Sc2
_chemical_formula_sum 'Tb2 Ho12 Er6 Sc4'
_cell_length_a 6.0332
_cell_length_b 10.4378
_cell_length_c 11.5185
_cell_angle_alpha 90.00
_cell_angle_beta 100.02
_cell_angle_gamma 90.00
_space_group_name_H-M_alt 'C 1 2/m 1'
_space_group_IT_number 12
loop_
_space_group_symop_operation_xyz
'x,y,z'
'-x,-y,-z'
'-x,y,-z'
'x,-y,z'
'x+1/2,y+1/2,z'
'-x+1/2,-y+1/2,-z'
'-x+1/2,y+1/2,-z'
'x+1/2,-y+1/2,z'
loop_
_atom_site_label
_atom_site_type_symbol
_atom_site_fract_x
_atom_site_fract_y
_atom_site_fract_z
_atom_site_occupancy
Tb1 Tb 0.0000 0.0000 0.0000 1
Ho1 Ho 0.2468 0.5000 0.2459 1
Ho2 Ho 0.2502 0.1677 0.2460 1
Er1 Er 0.0000 0.1670 0.5000 1
Er2 Er 0.0000 0.5000 0.5000 1
Sc1 Sc 0.0000 0.3333 0.0000 1
# energy relative to the elements: 36 meV/atom
# crystal system: monoclinic
# total magnetic moment: 0.00 Bohr magnetons per cell

Entry 6:
# HoEr2ScTe4, relaxed, DFT PBE
data_HoEr2ScTe4
_chemical_formula_sum 'Ho1 Er2 Sc1 Te4'
_cell_length_a 7.4416
_cell_length_b 4.2489
_cell_length_c 7.4662
_cell_angle_alpha 90.00
_cell_angle_beta 108.96
_cell_angle_gamma 90.00
_space_group_name_H-M_alt 'P 1 2/m 1'
_space_group_IT_number 10
loop_
_space_group_symop_operation_xyz
'x,y,z'
'-x,-y,-z'
'-x,y,-z'
'x,-y,z'
loop_
_atom_site_label
_atom_site_type_symbol
_atom_site_fract_x
_atom_site_fract_y
_atom_site_fract_z
_atom_site_occupancy
Ho1 Ho 0.0000 0.0000 0.0000 1
Er1 Er 0.5000 0.0000 0.5000 1
Er2 Er 0.5000 0.5000 0.0000 1
Sc1 Sc 0.0000 0.5000 0.5000 1
Te1 Te 0.2432 0.0000 0.7422 1
Te2 Te 0.2473 0.5000 0.2548 1
# crystal system: monoclinic
# total magnetic moment: 0.00 Bohr magnetons per cell
# ΔE_f (raw): -1.19 eV per atom